Record 1
Below is an optimized crystal structure of Cs3Ac3SbSe8, with properties calculated at the GGA-PBE level.

abc: 9.021 9.022 10.054
angles: 116.67 89.96 120.05
Sites, in units of the cell vectors:
1 Cs 0.000 0.000 0.000
2 Cs 0.000 0.500 0.000
3 Cs 0.500 0.500 0.000
4 Ac 0.500 0.000 0.500
5 Ac 0.500 0.500 0.500
6 Ac 0.000 0.500 0.500
7 Sb 0.000 0.000 0.500
8 Se 0.268 0.535 0.303
9 Se 0.732 0.465 0.697
10 Se 0.786 0.573 0.317
11 Se 0.214 0.427 0.683
12 Se 0.786 0.029 0.316
13 Se 0.214 0.971 0.684
14 Se 0.243 0.029 0.316
15 Se 0.757 0.971 0.684

energy relative to the elements, uncorrected	-1.45	eV per atom
total magnetization	0.0	μB/cell
space-group type	No. 12
volume	40.39	Å³/atom
N(E_F)	2.5	states/eV per cell
VASP energy	-4.58	eV/atom

Record 2
Below is an optimized crystal structure of AcScNbO6, with properties calculated at the GGA-PBE level.

abc: 5.071 5.071 10.299
angles: 90.00 90.00 90.00
Last column: magnetic moment on the atom in μB.
Sites, in units of the cell vectors:
1 Ac 0.500 0.500 0.504  0.01
2 Ac 0.000 0.000 0.004  0.01
3 Sc 0.500 0.500 0.834  -0.02
4 Sc 0.000 0.000 0.334  -0.02
5 Nb 0.500 0.500 0.170  -0.05
6 Nb 0.000 0.000 0.670  -0.05
7 O 0.168 0.832 0.505  0.07
8 O 0.832 0.168 0.505  0.07
9 O 0.332 0.332 0.005  0.07
10 O 0.668 0.668 0.005  0.07
11 O 0.220 0.780 0.192  0.14
12 O 0.780 0.220 0.192  0.14
13 O 0.280 0.280 0.692  0.14
14 O 0.720 0.720 0.692  0.14
15 O 0.795 0.205 0.799  0.14
16 O 0.205 0.795 0.799  0.14
17 O 0.705 0.705 0.299  0.14
18 O 0.295 0.295 0.299  0.14

energy relative to the elements, uncorrected	-2.81	eV per atom
total magnetization	1.5	μB/cell
space-group type	No. 102
volume	14.71	Å³/atom
N(E_F)	10.3	states/eV per cell
VASP energy	-8.39	eV/atom